No. 1
Compound: Si2NiPb
Source: Alexandria via LeMat-Bulk
Functional: PBEsol
Structure: relaxed

Values from the calculation:
Formation energy from raw total energies: -8.6 kJ per mole of atoms

```
4
Lattice="3.270 -1.892 0.000 3.270 1.892 0.000 -2.315 0.000 5.925" Properties=species:S:1:pos:R:3 pbc="T T T"
Si 0.000 0.000 0.000
Si -0.135 0.000 4.508
Ni 2.046 0.000 5.221
Pb 2.090 0.000 2.319
```

---

No. 2
Compound: Si2NiPb
Source: Alexandria via LeMat-Bulk
Functional: PBEsol
Structure: relaxed

Values from the calculation:
Formation energy from raw total energies: 10.4 kJ per mole of atoms

```
4
Lattice="2.993 0.000 0.000 0.000 2.993 0.000 0.000 0.000 7.489" Properties=species:S:1:pos:R:3 pbc="T T T"
Si 0.000 0.000 1.302
Si 0.000 0.000 6.187
Ni 1.497 1.497 0.000
Pb 1.497 1.497 3.745
```

---

No. 3
Compound: SrNi2SnPb
Source: Alexandria via LeMat-Bulk
Functional: PBEsol
Structure: relaxed

Values from the calculation:
Energy relative to the elements: 0.39 eV/atom

```
5
Lattice="4.797 0.000 0.000 0.000 4.797 0.000 0.000 0.000 5.605" Properties=species:S:1:pos:R:3 pbc="T T T"
Sr 0.000 0.000 0.000
Ni 0.000 2.399 2.802
Ni 2.399 0.000 2.802
Sn 2.399 2.399 2.802
Pb 2.399 2.399 0.000
```

---

No. 4
Compound: Sr2Ni2Pb
Source: Alexandria via LeMat-Bulk
Functional: PBEsol
Structure: relaxed

Values from the calculation:
Energy relative to the elements: 0.05 eV/atom

```
5
Lattice="-2.892 2.892 3.742 2.892 -2.892 3.742 2.892 2.892 -3.742" Properties=species:S:1:pos:R:3 pbc="T T T"
Sr 2.892 0.000 1.871
Sr 0.000 2.892 1.871
Ni 0.000 0.000 1.156
Ni 0.000 0.000 6.328
Pb 0.000 0.000 3.742
```

---

M_tot? In order: 0.00; 0.00; 0.01; 0.00 μB per cell.